Below is a relaxed Pr4ScHg5 crystal, with properties calculated at the PBE level.

Calculated total energy in eV/atom: -3.14
Energy of formation in eV per atom: -0.45

Cell: 3.757 3.757 19.412 Å, 90.00 90.00 90.00°
Each line ends with the local moment (μB).
Element x y z (fractional)
Hg 0.500 0.500 0.294  0.02
Hg 0.500 0.500 0.918  0.01
Hg 0.500 0.500 0.500  0.01
Pr 0.000 0.000 0.604  0.18
Sc 0.000 0.000 0.000  0.15
Hg 0.500 0.500 0.082  0.01
Pr 0.000 0.000 0.811  0.23
Pr 0.000 0.000 0.396  0.18
Hg 0.500 0.500 0.706  0.02
Pr 0.000 0.000 0.189  0.23